Arrangement a

## SiSbI2O (PBE)

Data for SiSbI2O after structural relaxation.

The structure in POSCAR format:
```
SiSbI2O
1.0
5.163 0.000 0.000
0.000 5.163 0.000
0.000 0.000 4.639
Si Sb I O
1 1 2 1
Cartesian
0.000 0.000 0.000
2.582 2.582 0.000
0.000 2.582 2.319
2.582 0.000 2.319
2.582 2.582 2.319
```

***

Arrangement b

## SiSbI2O (PBE)

Data for SiSbI2O after structural relaxation.

The structure in POSCAR format:
```
SiSbI2O
1.0
6.104 0.000 0.000
0.000 6.104 0.000
0.000 0.000 4.062
Si Sb I O
1 1 2 1
Cartesian
0.000 0.000 0.000
3.052 3.052 2.031
0.000 3.052 2.031
3.052 0.000 2.031
3.052 3.052 0.000
```

***

Arrangement c

## SiSbI2O (PBE)

Data for SiSbI2O after structural relaxation.

The structure in POSCAR format:
```
SiSbI2O
1.0
5.843 0.000 0.000
0.000 5.843 0.000
0.000 0.000 3.537
Si Sb I O
1 1 2 1
Cartesian
0.000 0.000 0.000
2.921 2.921 1.768
0.000 2.921 0.000
2.921 0.000 0.000
0.000 0.000 1.768
```

***

Energies relative to the minimum, kJ/mol of atoms: arrangement a 75.4; arrangement b 40.3; arrangement c 0.0

***

Arrangement a

## SnSb2IO (PBE)

Data for SnSb2IO after structural relaxation.

The structure in POSCAR format:
```
SnSb2IO
1.0
4.567 0.000 0.000
0.000 4.567 0.000
0.000 0.000 6.623
Sn Sb I O
1 2 1 1
Cartesian
0.000 0.000 0.000
0.000 2.283 3.311
2.283 0.000 3.311
2.283 2.283 0.000
2.283 2.283 3.311
```

***

Arrangement b

## SnSb2IO (PBE)

Data for SnSb2IO after structural relaxation.

The structure in POSCAR format:
```
SnSb2IO
1.0
5.730 0.000 0.000
0.000 5.730 0.000
0.000 0.000 5.786
Sn Sb I O
1 2 1 1
Cartesian
0.000 0.000 0.000
0.000 2.865 0.000
2.865 0.000 0.000
0.000 0.000 2.893
2.865 2.865 2.893
```

***

Energies relative to the minimum, kJ/mol of atoms: arrangement a 0.0; arrangement b 112.3

***

Arrangement a

## SrSb2IO (PBE)

Data for SrSb2IO after structural relaxation.

The structure in POSCAR format:
```
SrSb2IO
1.0
6.286 0.000 0.000
0.000 6.286 0.000
0.000 0.000 6.060
Sr Sb I O
1 2 1 1
Cartesian
0.000 0.000 0.000
0.000 3.143 0.000
3.143 0.000 0.000
0.000 0.000 3.030
3.143 3.143 3.030
```

***

Arrangement b

## SrSb2IO (PBE)

Data for SrSb2IO after structural relaxation.

The structure in POSCAR format:
```
SrSb2IO
1.0
4.608 0.000 0.000
0.000 4.608 0.000
0.000 0.000 6.843
Sr Sb I O
1 2 1 1
Cartesian
0.000 0.000 0.000
0.000 2.304 3.421
2.304 0.000 3.421
2.304 2.304 0.000
2.304 2.304 3.421
```

***

Energies relative to the minimum, kJ/mol of atoms: arrangement a 156.7; arrangement b 0.0

***

Arrangement a

## TaSbIO2 (PBE)

Data for TaSbIO2 after structural relaxation.

The structure in POSCAR format:
```
TaSbIO2
1.0
4.047 0.000 0.000
0.000 4.047 0.000
0.000 0.000 7.520
Ta Sb I O
1 1 1 2
Cartesian
0.000 0.000 0.000
2.023 2.023 3.760
2.023 2.023 0.000
0.000 2.023 3.760
2.023 0.000 3.760
```

***

Arrangement b

## TaSbIO2 (PBE)

Data for TaSbIO2 after structural relaxation.

The structure in POSCAR format:
```
TaSbIO2
1.0
4.056 0.000 0.000
0.000 4.056 0.000
0.000 0.000 6.365
Ta Sb I O
1 1 1 2
Cartesian
0.000 0.000 0.000
2.028 2.028 3.182
0.000 0.000 3.182
0.000 2.028 0.000
2.028 0.000 0.000
```

***

Energies relative to the minimum, kJ/mol of atoms: arrangement a 116.8; arrangement b 0.0

***

Arrangement a

## TaSbI2O (PBE)

Data for TaSbI2O after structural relaxation.

The structure in POSCAR format:
```
TaSbI2O
1.0
6.055 0.000 0.000
0.000 6.055 0.000
0.000 0.000 3.994
Ta Sb I O
1 1 2 1
Cartesian
0.000 0.000 0.000
3.027 3.027 1.997
0.000 3.027 1.997
3.027 0.000 1.997
3.027 3.027 0.000
```

***

Arrangement b

## TaSbI2O (PBE)

Data for TaSbI2O after structural relaxation.

The structure in POSCAR format:
```
TaSbI2O
1.0
5.350 0.000 0.000
0.000 5.350 0.000
0.000 0.000 5.498
Ta Sb I O
1 1 2 1
Cartesian
0.000 0.000 0.000
0.000 0.000 2.749
0.000 2.675 0.000
2.675 0.000 0.000
2.675 2.675 2.749
```

***

Arrangement c

## TaSbI2O (PBE)

Data for TaSbI2O after structural relaxation.

The structure in POSCAR format:
```
TaSbI2O
1.0
5.842 0.000 0.000
0.000 5.842 0.000
0.000 0.000 3.874
Ta Sb I O
1 1 2 1
Cartesian
0.000 0.000 0.000
2.921 2.921 1.937
0.000 2.921 0.000
2.921 0.000 0.000
0.000 0.000 1.937
```

***

Arrangement d

## TaSbI2O (PBE)

Data for TaSbI2O after structural relaxation.

The structure in POSCAR format:
```
TaSbI2O
1.0
5.000 0.000 0.000
0.000 5.000 0.000
0.000 0.000 4.618
Ta Sb I O
1 1 2 1
Cartesian
0.000 0.000 0.000
2.500 2.500 0.000
0.000 2.500 2.309
2.500 0.000 2.309
2.500 2.500 2.309
```

***

Energies relative to the minimum, kJ/mol of atoms: arrangement a 101.4; arrangement b 110.8; arrangement c 0.0; arrangement d 116.2

***

Arrangement a

## SbTeI2O (PBE)

Data for SbTeI2O after structural relaxation.

The structure in POSCAR format:
```
SbTeI2O
1.0
6.176 0.000 0.000
0.000 6.176 0.000
0.000 0.000 4.057
Sb Te I O
1 1 2 1
Cartesian
0.000 0.000 0.000
3.088 3.088 2.028
0.000 3.088 0.000
3.088 0.000 0.000
0.000 0.000 2.028
```

***

Arrangement b

## SbTeI2O (PBE)

Data for SbTeI2O after structural relaxation.

The structure in POSCAR format:
```
SbTeI2O
1.0
5.987 0.000 0.000
0.000 5.987 0.000
0.000 0.000 6.096
Sb Te I O
1 1 2 1
Cartesian
0.000 0.000 0.000
0.000 0.000 3.048
0.000 2.994 3.048
2.994 0.000 3.048
2.994 2.994 0.000
```

***

Energies relative to the minimum, kJ/mol of atoms: arrangement a 0.0; arrangement b 85.5